[1]
Computed, not measured: BeAl3Mo after structural relaxation at the PBE level of DFT.

It has space group Pm-3m (No. 221), with a = 4.261 Å, b = 4.261 Å, c = 4.261 Å, α = 90.00°, β = 90.00° and γ = 90.00°. The inequivalent atoms are Be at (0.000, 0.000, 0.000), Al at (0.000, 0.000, 0.500) and Mo at (0.500, 0.500, 0.500).

The energy above the lowest structure with this stoichiometry is 0 meV per atom. The calculation puts the calculated total energy at -4.430 eV/atom. For the total magnetization, the calculation gives 2.001 μB/cell.

---

[2]
Computed, not measured: TmLuCdIr after structural relaxation at the PBE level of DFT.

It has space group F-43m (No. 216), with a = 6.999 Å, b = 6.999 Å, c = 6.999 Å, α = 90.00°, β = 90.00° and γ = 90.00°. The inequivalent atoms are Tm at (0.000, 0.000, 0.000), Lu at (0.000, 0.000, 0.500), Cd at (0.250, 0.250, 0.750) and Ir at (0.250, 0.250, 0.250).

The calculation puts the calculated total energy at -5.294 eV/atom. For the total magnetization, the calculation gives 0.000 μB/cell.

---

| no. | ΔE_f (eV per atom) |
| --- | --- |
| 1 | 0.727 |
| 2 | -0.602 |